CrI2NO | GGA+U | relaxed

Cell: 5.0854 5.0854 3.6516 Å, 90.00 90.00 90.00°
Space group P4/mmm (No. 123)
Unique sites:
Cr: 0.0000 0.0000 0.0000 [1 per cell]
I: 0.0000 0.5000 0.5000 [2 per cell]
N: 0.5000 0.5000 0.5000 [1 per cell]
O: 0.5000 0.5000 0.0000 [1 per cell]

* total energy: -16.319 eV per cell
* energy relative to the lowest polymorph listed for this composition: 35.2 kJ/mol of atoms